[1]
GaAsPb (GGA-PBE, optimized geometry); total magnetic moment = 0.000 μB per atom; energy relative to the lowest polymorph listed for this composition = 0.00 eV/f.u.; formation energy from the elements = -49 meV per atom; SG = P3m1
1.0
3.996 0.000 0.000
-1.998 3.461 0.000
0.000 0.000 5.382
Ga As Pb
1 1 1
direct
0.000 0.000 0.000
0.667 0.333 0.787
0.333 0.667 0.404

[2]
Ga2AsRuPb (GGA-PBE, optimized geometry); total magnetic moment = 0.235 μB per atom; formation energy from the elements = 285 meV per atom; SG = P4/mmm
1.0
4.779 0.000 0.000
0.000 4.779 0.000
0.000 0.000 5.326
Ga As Ru Pb
2 1 1 1
direct
0.000 0.500 0.000
0.500 0.000 0.000
0.000 0.000 0.500
0.500 0.500 0.000
0.500 0.500 0.500

[3]
Ga2AsPbS6 (GGA-PBE, optimized geometry); total magnetic moment = 0.000 μB per atom; ΔE_f (raw) = -33 kJ per mole of atoms; SG = C2/c
1.0
6.232 -5.372 0.000
6.232 5.372 0.000
-2.179 0.000 6.873
Ga As Pb S
4 2 2 12
direct
0.122 0.270 0.203
0.270 0.122 0.703
0.730 0.878 0.297
0.878 0.730 0.797
0.266 0.734 0.250
0.734 0.266 0.750
0.346 0.654 0.750
0.654 0.346 0.250
0.058 0.205 0.468
0.110 0.561 0.918
0.205 0.058 0.968
0.316 0.477 0.347
0.439 0.890 0.582
0.477 0.316 0.847
0.523 0.684 0.153
0.561 0.110 0.418
0.684 0.523 0.653
0.795 0.942 0.032
0.890 0.439 0.082
0.942 0.795 0.532